# YTi2Fe

A geometry-optimized YTi2Fe structure (PBE-GGA, Alexandria).

Geometry as CIF:
```
data_YTi2Fe
_cell_length_a 4.488
_cell_length_b 4.488
_cell_length_c 17.327
_cell_angle_alpha 90.00
_cell_angle_beta 90.00
_cell_angle_gamma 90.00
_symmetry_space_group_name_H-M 'I -4 2 d'
_symmetry_Int_Tables_number 122
_symmetry_space_group_name_Hall 'I -4 2bw'
loop_
_atom_site_label
_atom_site_fract_x
_atom_site_fract_y
_atom_site_fract_z
_atom_site_occupancy
Y1 0.000 0.000 0.000 1
Ti1 0.037 0.250 0.625 1
Fe1 0.000 0.000 0.500 1
```

calculated formation energy	0.772	eV/atom
DOS(E_F)	1.207	states/eV/atom
E above lowest polymorph	0.431	eV/atom


# Y2Ti2Fe

A geometry-optimized Y2Ti2Fe structure (PBE-GGA, Alexandria).

Geometry as CIF:
```
data_Y2Ti2Fe
_cell_length_a 6.327
_cell_length_b 6.327
_cell_length_c 5.199
_cell_angle_alpha 90.00
_cell_angle_beta 90.00
_cell_angle_gamma 90.00
_symmetry_space_group_name_H-M 'P 4/m b m'
_symmetry_Int_Tables_number 127
_symmetry_space_group_name_Hall '-P 4 2ab'
loop_
_atom_site_label
_atom_site_fract_x
_atom_site_fract_y
_atom_site_fract_z
_atom_site_occupancy
Y1 0.173 0.327 0.000 1
Ti1 0.154 0.654 0.500 1
Fe1 0.000 0.000 0.500 1
```

calculated formation energy	0.126	eV/atom
DOS(E_F)	0.787	states/eV/atom
E above lowest polymorph	0.000	eV/atom